# 1
A plane-wave DFT calculation with PBE with a Hubbard U was carried out for a geometry-optimized UMn2CrO6 structure.

Values from the calculation:
Total moment ... 12.00 μB/cell
E_tot ... -86.125 eV for the cell shown
Density ... 6.65 g/cm³

abc: 5.755 5.755 5.755
angles: 56.51 56.51 56.51
Element x y z (fractional)
U: 0.000 0.000 0.000
Mn: 0.284 0.284 0.284
Mn: 0.786 0.786 0.786
Cr: 0.497 0.497 0.497
O: 0.129 0.386 0.713
O: 0.231 0.868 0.615
O: 0.386 0.713 0.129
O: 0.615 0.231 0.868
O: 0.713 0.129 0.386
O: 0.868 0.615 0.231


# 2
A plane-wave DFT calculation with PBE with a Hubbard U was carried out for a geometry-optimized TcNiF2 structure.

Values from the calculation:
Total moment ... 0.87 μB/cell
E_tot ... -19.634 eV for the cell shown
Density ... 6.88 g/cm³

abc: 7.661 7.661 7.661
angles: 20.21 20.21 20.21
Element x y z (fractional)
Tc: 0.000 0.000 0.000
Ni: 0.500 0.500 0.500
F: 0.090 0.090 0.090
F: 0.910 0.910 0.910